# Na2CoAg2F6

An optimized crystal structure of Na2CoAg2F6 (PBE+U, Alexandria via LeMat-Bulk).

Unit cell a=5.7165 b=5.7165 c=6.0202 alpha=97.06 beta=97.06 gamma=120.04
Last column: magnetic moment on the atom in μB.
Positions (direct):
Na  0.3384  0.6616  0.5000  0.00
Na  0.6616  0.3384  0.5000  0.00
Co  0.0000  0.0000  0.5000  2.79
Ag  0.8380  0.1620  0.0000  0.01
Ag  0.1620  0.8380  0.0000  0.01
F  0.7553  0.7553  0.6918  0.03
F  0.0365  0.3485  0.7008  0.03
F  0.2447  0.2447  0.3082  0.03
F  0.3485  0.0365  0.7008  0.03
F  0.9635  0.6515  0.2992  0.03
F  0.6515  0.9635  0.2992  0.03

Calculated values
Total DFT energy (no corrections) = -0.1530 Ha/atom
Symmetry = C2/m (12)